1.
First-principles (PBE+U) data for a geometry-optimized NbCrFeF2 structure, as listed in Alexandria via LeMat-Bulk.

Total DFT energy (no corrections) = -0.2139 hartree per atom
Total moment = 0.615 μB/atom

Cell lengths 3.8690, 3.8690, 6.3208 Å; angles 90.00, 90.00, 90.00 degrees
Space group P4/mmm (No. 123)
Asymmetric unit:
Nb 0.0000 0.0000 0.0000 (multiplicity 1)
Cr 0.5000 0.5000 0.5000 (multiplicity 1)
Fe 0.5000 0.5000 0.0000 (multiplicity 1)
F 0.0000 0.5000 0.5000 (multiplicity 2)

***

2.
First-principles (PBE+U) data for a geometry-optimized CrFeOF2 structure, as listed in Alexandria via LeMat-Bulk.

Total DFT energy (no corrections) = -0.2164 hartree per atom
Total moment = 1.790 μB/atom

Cell lengths 3.9970, 3.9970, 3.9870 Å; angles 90.00, 90.00, 90.00 degrees
Space group P4/mmm (No. 123)
Asymmetric unit:
Cr 0.0000 0.0000 0.0000 (multiplicity 1)
Fe 0.5000 0.5000 0.5000 (multiplicity 1)
O 0.5000 0.5000 0.0000 (multiplicity 1)
F 0.0000 0.5000 0.5000 (multiplicity 2)

***

3.
First-principles (PBE+U) data for a geometry-optimized CrFeO2F structure, as listed in Alexandria via LeMat-Bulk.

Total DFT energy (no corrections) = -0.2281 hartree per atom
Total moment = 0.600 μB/atom

Cell lengths 3.8984, 3.8984, 3.7710 Å; angles 90.00, 90.00, 90.00 degrees
Space group P4/mmm (No. 123)
Asymmetric unit:
Cr 0.0000 0.0000 0.0000 (multiplicity 1)
Fe 0.5000 0.5000 0.5000 (multiplicity 1)
O 0.0000 0.5000 0.0000 (multiplicity 2)
F 0.0000 0.0000 0.5000 (multiplicity 1)

***

4.
First-principles (PBE+U) data for a geometry-optimized CrFeO2F structure, as listed in Alexandria via LeMat-Bulk.

Total DFT energy (no corrections) = -0.2091 hartree per atom
Total moment = 0.708 μB/atom

Cell lengths 3.7843, 3.7843, 3.7505 Å; angles 90.00, 90.00, 90.00 degrees
Space group P4/mmm (No. 123)
Asymmetric unit:
Cr 0.0000 0.0000 0.0000 (multiplicity 1)
Fe 0.5000 0.5000 0.5000 (multiplicity 1)
O 0.0000 0.5000 0.5000 (multiplicity 2)
F 0.5000 0.5000 0.0000 (multiplicity 1)

***

5.
First-principles (PBE+U) data for a geometry-optimized CrFeOF2 structure, as listed in Alexandria via LeMat-Bulk.

Total DFT energy (no corrections) = -0.2126 hartree per atom
Total moment = 0.006 μB/atom

Cell lengths 3.9414, 3.9414, 3.9722 Å; angles 90.00, 90.00, 90.00 degrees
Space group P4/mmm (No. 123)
Asymmetric unit:
Cr 0.0000 0.0000 0.0000 (multiplicity 1)
Fe 0.5000 0.5000 0.5000 (multiplicity 1)
O 0.0000 0.0000 0.5000 (multiplicity 1)
F 0.0000 0.5000 0.0000 (multiplicity 2)

***

6.
First-principles (PBE+U) data for a geometry-optimized Cr2FePbF8 structure, as listed in Alexandria via LeMat-Bulk.

Total DFT energy (no corrections) = -0.2114 hartree per atom
Total moment = 1.000 μB/atom

Cell lengths 4.9559, 5.0773, 7.2726 Å; angles 86.00, 87.00, 87.06 degrees
Space group P-1 (No. 2)
Asymmetric unit:
Cr 0.0129 0.0114 0.2330 (multiplicity 2)
Fe 0.5000 0.5000 0.0000 (multiplicity 1)
Pb 0.5000 0.5000 0.5000 (multiplicity 1)
F 0.1605 0.1783 0.5403 (multiplicity 2)
F 0.2104 0.2187 0.0223 (multiplicity 2)
F 0.2955 0.7101 0.7773 (multiplicity 2)
F 0.2997 0.7130 0.2167 (multiplicity 2)

***

7.
First-principles (PBE+U) data for a geometry-optimized RbCrFeF6 structure, as listed in Alexandria via LeMat-Bulk.

Total DFT energy (no corrections) = -0.2033 hartree per atom
Total moment = 0.778 μB/atom

Cell lengths 5.4634, 9.5232, 6.0349 Å; angles 90.00, 90.01, 90.00 degrees
Space group C2 (No. 5)
Asymmetric unit:
Rb 0.0000 0.0000 0.0000 (multiplicity 2)
Cr 0.0000 0.3336 0.5000 (multiplicity 2)
Fe 0.0000 0.6663 0.5000 (multiplicity 2)
F 0.1217 0.4904 0.3205 (multiplicity 4)
F 0.1693 0.1952 0.3176 (multiplicity 4)
F 0.2002 0.8181 0.3233 (multiplicity 4)

***

8.
First-principles (PBE+U) data for a geometry-optimized Rb3Cr2FeF9 structure, as listed in Alexandria via LeMat-Bulk.

Total DFT energy (no corrections) = -0.1946 hartree per atom
Total moment = 0.800 μB/atom

Cell lengths 6.0452, 6.0452, 7.3243 Å; angles 90.00, 90.00, 120.00 degrees
Space group P-3m1 (No. 164)
Asymmetric unit:
Rb 0.0000 0.0000 0.0000 (multiplicity 1)
Rb 0.3333 0.6667 0.6652 (multiplicity 2)
Cr 0.3333 0.6667 0.1659 (multiplicity 2)
Fe 0.0000 0.0000 0.5000 (multiplicity 1)
F 0.0000 0.5000 0.0000 (multiplicity 3)
F 0.1663 0.3326 0.3361 (multiplicity 6)

***

9.
First-principles (PBE+U) data for a geometry-optimized RbCr2FeF8 structure, as listed in Alexandria via LeMat-Bulk.

Total DFT energy (no corrections) = -0.2055 hartree per atom
Total moment = 0.917 μB/atom

Cell lengths 5.1341, 6.7947, 5.1496 Å; angles 90.00, 93.57, 90.00 degrees
Space group P2/m (No. 10)
Asymmetric unit:
Rb 0.0000 0.0000 0.0000 (multiplicity 1)
Cr 0.5000 0.2616 0.5000 (multiplicity 2)
Fe 0.0000 0.5000 0.0000 (multiplicity 1)
F 0.2210 0.2994 0.2224 (multiplicity 4)
F 0.3145 0.5000 0.6860 (multiplicity 2)
F 0.3467 0.0000 0.6537 (multiplicity 2)

***

10.
First-principles (PBE+U) data for a geometry-optimized CrFeRh2F structure, as listed in Alexandria via LeMat-Bulk.

Total DFT energy (no corrections) = -0.2004 hartree per atom
Total moment = 1.388 μB/atom

Cell lengths 4.7612, 4.7612, 3.6824 Å; angles 90.00, 90.00, 90.00 degrees
Space group P4/mmm (No. 123)
Asymmetric unit:
Cr 0.0000 0.0000 0.0000 (multiplicity 1)
Fe 0.5000 0.5000 0.5000 (multiplicity 1)
Rh 0.0000 0.5000 0.0000 (multiplicity 2)
F 0.0000 0.0000 0.5000 (multiplicity 1)

***

11.
First-principles (PBE+U) data for a geometry-optimized ScCr2FeF structure, as listed in Alexandria via LeMat-Bulk.

Total DFT energy (no corrections) = -0.1859 hartree per atom
Total moment = 1.857 μB/atom

Cell lengths 5.3301, 5.3301, 3.7441 Å; angles 90.00, 90.00, 90.00 degrees
Space group P4/mmm (No. 123)
Asymmetric unit:
Sc 0.0000 0.0000 0.0000 (multiplicity 1)
Cr 0.0000 0.5000 0.5000 (multiplicity 2)
Fe 0.5000 0.5000 0.5000 (multiplicity 1)
F 0.5000 0.5000 0.0000 (multiplicity 1)

***

12.
First-principles (PBE+U) data for a geometry-optimized CrFe2SeF structure, as listed in Alexandria via LeMat-Bulk.

Total DFT energy (no corrections) = -0.1688 hartree per atom
Total moment = 2.277 μB/atom

Cell lengths 5.2186, 5.2186, 3.8415 Å; angles 90.00, 90.00, 90.00 degrees
Space group P4/mmm (No. 123)
Asymmetric unit:
Cr 0.0000 0.0000 0.0000 (multiplicity 1)
Fe 0.0000 0.5000 0.0000 (multiplicity 2)
Se 0.5000 0.5000 0.5000 (multiplicity 1)
F 0.0000 0.0000 0.5000 (multiplicity 1)

***

13.
First-principles (PBE+U) data for a geometry-optimized TaCr2FeF structure, as listed in Alexandria via LeMat-Bulk.

Total DFT energy (no corrections) = -0.2350 hartree per atom
Total moment = 2.099 μB/atom

Cell lengths 4.3976, 4.3976, 4.3426 Å; angles 90.00, 90.00, 90.00 degrees
Space group P4/mmm (No. 123)
Asymmetric unit:
Ta 0.0000 0.0000 0.0000 (multiplicity 1)
Cr 0.0000 0.5000 0.5000 (multiplicity 2)
Fe 0.5000 0.5000 0.0000 (multiplicity 1)
F 0.0000 0.0000 0.5000 (multiplicity 1)

***

14.
First-principles (PBE+U) data for a geometry-optimized Cr2FeTcF structure, as listed in Alexandria via LeMat-Bulk.

Total DFT energy (no corrections) = -0.1823 hartree per atom
Total moment = 0.672 μB/atom

Cell lengths 4.8829, 4.8829, 3.5817 Å; angles 90.00, 90.00, 90.00 degrees
Space group P4/mmm (No. 123)
Asymmetric unit:
Cr 0.0000 0.5000 0.0000 (multiplicity 2)
Fe 0.0000 0.0000 0.0000 (multiplicity 1)
Tc 0.5000 0.5000 0.5000 (multiplicity 1)
F 0.0000 0.0000 0.5000 (multiplicity 1)

***

15.
First-principles (PBE+U) data for a geometry-optimized Tl3CrFe2F9 structure, as listed in Alexandria via LeMat-Bulk.

Total DFT energy (no corrections) = -0.1847 hartree per atom
Total moment = 0.800 μB/atom

Cell lengths 6.0711, 6.0711, 7.2650 Å; angles 90.00, 90.00, 120.00 degrees
Space group P-3m1 (No. 164)
Asymmetric unit:
Tl 0.0000 0.0000 0.0000 (multiplicity 1)
Tl 0.3333 0.6667 0.6668 (multiplicity 2)
Cr 0.0000 0.0000 0.5000 (multiplicity 1)
Fe 0.3333 0.6667 0.1649 (multiplicity 2)
F 0.0000 0.5000 0.0000 (multiplicity 3)
F 0.1664 0.3328 0.3300 (multiplicity 6)

***

16.
First-principles (PBE+U) data for a geometry-optimized Tl2CrFeF6 structure, as listed in Alexandria via LeMat-Bulk.

Total DFT energy (no corrections) = -0.1894 hartree per atom
Total moment = 0.800 μB/atom

Cell lengths 5.9532, 8.9597, 5.9532 Å; angles 90.00, 90.00, 90.00 degrees
Space group Pmmn (No. 59, origin choice 2)
Asymmetric unit:
Tl 0.2500 0.0000 0.2498 (multiplicity 4)
Cr 0.2500 0.2500 0.7496 (multiplicity 2)
Fe 0.2500 0.7500 0.7503 (multiplicity 2)
F 0.0077 0.2500 0.5072 (multiplicity 4)
F 0.0076 0.2500 0.9919 (multiplicity 4)
F 0.2500 0.5248 0.7506 (multiplicity 4)

***

17.
First-principles (PBE+U) data for a geometry-optimized TlCr2FeF8 structure, as listed in Alexandria via LeMat-Bulk.

Total DFT energy (no corrections) = -0.2035 hartree per atom
Total moment = 0.917 μB/atom

Cell lengths 5.1404, 6.7732, 5.1625 Å; angles 90.00, 92.95, 90.00 degrees
Space group P2/m (No. 10)
Asymmetric unit:
Tl 0.0000 0.0000 0.0000 (multiplicity 1)
Cr 0.5000 0.2617 0.5000 (multiplicity 2)
Fe 0.0000 0.5000 0.0000 (multiplicity 1)
F 0.2256 0.2996 0.2206 (multiplicity 4)
F 0.3115 0.5000 0.6844 (multiplicity 2)
F 0.3427 0.0000 0.6507 (multiplicity 2)

***

18.
First-principles (PBE+U) data for a geometry-optimized Tl2CrFe3F12 structure, as listed in Alexandria via LeMat-Bulk.

Total DFT energy (no corrections) = -0.1931 hartree per atom
Total moment = 0.889 μB/atom

Cell lengths 7.4017, 7.4017, 18.4470 Å; angles 90.00, 90.00, 120.00 degrees
Space group R-3m (No. 166, hexagonal axes)
Asymmetric unit:
Tl 0.0000 0.0000 0.1124 (multiplicity 6)
Cr 0.0000 0.0000 0.5000 (multiplicity 3)
Fe 0.0000 0.5000 0.0000 (multiplicity 9)
F 0.0635 0.5318 0.3600 (multiplicity 18)
F 0.0813 0.5407 0.1080 (multiplicity 18)

***

19.
First-principles (PBE+U) data for a geometry-optimized CrGa2F6 structure, as listed in Alexandria via LeMat-Bulk.

Total DFT energy (no corrections) = -0.1826 hartree per atom
Total moment = 0.332 μB/atom

Cell lengths 13.1396, 8.5032, 5.6198 Å; angles 90.00, 102.09, 90.00 degrees
Space group C2/c (No. 15)
Asymmetric unit:
Cr 0.0000 0.0804 0.2500 (multiplicity 4)
Ga 0.1066 0.4706 0.2761 (multiplicity 8)
F 0.0754 0.0799 0.5959 (multiplicity 8)
F 0.0935 0.2446 0.1749 (multiplicity 8)
F 0.2086 0.4575 0.5876 (multiplicity 8)

***

20.
First-principles (PBE+U) data for a geometry-optimized CrGa3F structure, as listed in Alexandria via LeMat-Bulk.

Total DFT energy (no corrections) = -0.1320 hartree per atom
Total moment = 0.801 μB/atom

Cell lengths 4.9715, 4.9715, 4.9715 Å; angles 90.00, 90.00, 90.00 degrees
Space group Pm-3m (No. 221)
Asymmetric unit:
Cr 0.0000 0.0000 0.0000 (multiplicity 1)
Ga 0.0000 0.0000 0.5000 (multiplicity 3)
F 0.5000 0.5000 0.5000 (multiplicity 1)